First-principles (PBE) data for a relaxed structure of SbPPdO, as listed in OQMD.

Cell and atoms, written as POSCAR:
```
SbPPdO
1.0
3.7429 0.0000 0.0000
0.0000 6.5715 0.0000
0.0000 0.0000 6.2963
O P Pd Sb
2 2 2 2
direct
0.0000 0.8198 0.4135 O
0.0000 0.1802 0.9135 O
0.5000 0.3115 0.3609 P
0.5000 0.6885 0.8609 P
0.0000 0.7948 0.0302 Pd
0.0000 0.2052 0.5302 Pd
0.5000 0.6909 0.4494 Sb
0.5000 0.3091 0.9494 Sb
```

Values from the calculation:
Uncorrected energy ... -5.194 eV per atom

---

First-principles (PBE) data for a relaxed structure of SbPPdO, as listed in OQMD.

Cell and atoms, written as POSCAR:
```
SbPPdO
1.0
5.3294 0.0000 0.0000
0.0000 5.3294 0.0000
0.0000 0.0000 4.6077
O P Pd Sb
2 2 2 2
direct
0.0000 0.0000 0.0000 O
0.5000 0.5000 0.0000 O
0.5000 0.0000 0.4963 P
0.0000 0.5000 0.5037 P
0.0000 0.5000 0.0035 Pd
0.5000 0.0000 0.9965 Pd
0.0000 0.0000 0.5000 Sb
0.5000 0.5000 0.5000 Sb
```

Values from the calculation:
Uncorrected energy ... -4.993 eV per atom

---

First-principles (PBE) data for a relaxed structure of SbPPdO, as listed in OQMD.

Cell and atoms, written as POSCAR:
```
SbPPdO
1.0
3.9241 0.0000 0.0000
0.0000 3.9241 0.0000
0.0000 0.0000 8.5104
O P Pd Sb
2 2 2 2
direct
0.0000 0.0000 0.0000 O
0.5000 0.5000 0.0000 O
0.5000 0.0000 0.3365 P
0.0000 0.5000 0.6635 P
0.0000 0.0000 0.5000 Pd
0.5000 0.5000 0.5000 Pd
0.0000 0.5000 0.1415 Sb
0.5000 0.0000 0.8585 Sb
```

Values from the calculation:
Uncorrected energy ... -5.397 eV per atom

---

First-principles (PBE) data for a relaxed structure of SbPPdO, as listed in OQMD.

Cell and atoms, written as POSCAR:
```
SbPPdO
1.0
3.7722 -3.7722 0.0000
3.7722 3.7722 0.0000
0.0000 0.0000 4.6051
O P Pd Sb
2 2 2 2
direct
0.7500 0.2500 0.0000 O
0.2500 0.7500 0.0000 O
0.7500 0.7500 0.4991 P
0.2500 0.2500 0.5009 P
0.2500 0.2500 0.0008 Pd
0.7500 0.7500 0.9992 Pd
0.7500 0.2500 0.5000 Sb
0.2500 0.7500 0.5000 Sb
```

Values from the calculation:
Uncorrected energy ... -4.995 eV per atom

---

First-principles (PBE) data for a relaxed structure of ScPPdO, as listed in OQMD.

Cell and atoms, written as POSCAR:
```
ScPPdO
1.0
1.1337 3.7246 -0.5038
-2.4123 0.3176 -3.0808
-5.5215 2.2975 4.5603
O P Pd Sc
2 2 2 2
direct
0.5000 0.0000 0.0000 O
0.0000 0.5000 0.0000 O
0.5000 0.5000 0.3189 P
0.0000 0.0000 0.6811 P
0.5000 0.0000 0.5000 Pd
0.0000 0.5000 0.5000 Pd
0.0000 0.0000 0.1172 Sc
0.5000 0.5000 0.8828 Sc
```

Values from the calculation:
Uncorrected energy ... -7.147 eV per atom

---

First-principles (PBE) data for a relaxed structure of ScPPdO, as listed in OQMD.

Cell and atoms, written as POSCAR:
```
ScPPdO
1.0
3.3699 0.0000 0.0000
0.0000 7.3820 0.0000
0.0000 0.0000 5.2492
O P Pd Sc
2 2 2 2
direct
0.0000 0.4084 0.4598 O
0.0000 0.5916 0.9598 O
0.5000 0.9249 0.4333 P
0.5000 0.0751 0.9333 P
0.0000 0.7183 0.4326 Pd
0.0000 0.2817 0.9326 Pd
0.5000 0.2775 0.4283 Sc
0.5000 0.7225 0.9283 Sc
```

Values from the calculation:
Uncorrected energy ... -6.840 eV per atom

---

First-principles (PBE) data for a relaxed structure of ScPPdO, as listed in OQMD.

Cell and atoms, written as POSCAR:
```
ScPPdO
1.0
-5.0626 0.6342 -0.8990
-0.9680 -4.5796 2.2206
-0.4555 2.0367 4.0018
O P Pd Sc
2 2 2 2
direct
0.0000 0.0000 0.0000 O
0.5000 0.5000 0.0000 O
0.5000 0.0000 0.4998 P
0.0000 0.5000 0.5002 P
0.0000 0.5000 0.0002 Pd
0.5000 0.0000 0.9998 Pd
0.0000 0.0000 0.5000 Sc
0.5000 0.5000 0.5000 Sc
```

Values from the calculation:
Uncorrected energy ... -6.488 eV per atom

---

First-principles (PBE) data for a relaxed structure of SiPPdO, as listed in OQMD.

Cell and atoms, written as POSCAR:
```
SiPPdO
1.0
4.0795 0.0000 0.0000
0.0000 4.0795 0.0000
0.0000 0.0000 7.5370
O P Pd Si
2 2 2 2
direct
0.0000 0.0000 0.0000 O
0.5000 0.5000 0.0000 O
0.5000 0.0000 0.3419 P
0.0000 0.5000 0.6581 P
0.0000 0.5000 0.0641 Pd
0.5000 0.0000 0.9359 Pd
0.0000 0.0000 0.5000 Si
0.5000 0.5000 0.5000 Si
```

Values from the calculation:
Uncorrected energy ... -5.147 eV per atom

---

First-principles (PBE) data for a relaxed structure of SiPPdO, as listed in OQMD.

Cell and atoms, written as POSCAR:
```
SiPPdO
1.0
3.7280 0.0000 0.0000
0.0000 3.7280 0.0000
0.0000 0.0000 8.8744
O P Pd Si
2 2 2 2
direct
0.0000 0.0000 0.0000 O
0.5000 0.5000 0.0000 O
0.5000 0.0000 0.3333 P
0.0000 0.5000 0.6667 P
0.0000 0.0000 0.5000 Pd
0.5000 0.5000 0.5000 Pd
0.0000 0.5000 0.0996 Si
0.5000 0.0000 0.9004 Si
```

Values from the calculation:
Uncorrected energy ... -5.683 eV per atom

---

First-principles (PBE) data for a relaxed structure of SiPPdO, as listed in OQMD.

Cell and atoms, written as POSCAR:
```
SiPPdO
1.0
-1.3470 -0.8584 2.3544
4.8386 -4.8619 0.9955
3.1891 3.8336 3.2223
O P Pd Si
2 2 2 2
direct
0.0000 0.7084 0.0943 O
0.0000 0.2916 0.5943 O
0.5000 0.3047 0.1186 P
0.5000 0.6953 0.6186 P
0.0000 0.0535 0.0476 Pd
0.0000 0.9465 0.5476 Pd
0.5000 0.3892 0.4855 Si
0.5000 0.6108 0.9855 Si
```

Values from the calculation:
Uncorrected energy ... -6.063 eV per atom

---

First-principles (PBE) data for a relaxed structure of SiPPdO, as listed in OQMD.

Cell and atoms, written as POSCAR:
```
SiPPdO
1.0
-3.0928 -0.4317 -2.0219
0.7438 -3.6269 -0.3634
-4.5694 -1.6732 7.3468
O P Pd Si
2 2 2 2
direct
0.5000 0.0000 0.0000 O
0.0000 0.5000 0.0000 O
0.5000 0.5000 0.3317 P
0.0000 0.0000 0.6683 P
0.5000 0.0000 0.5000 Pd
0.0000 0.5000 0.5000 Pd
0.0000 0.0000 0.1012 Si
0.5000 0.5000 0.8988 Si
```

Values from the calculation:
Uncorrected energy ... -5.681 eV per atom

---

First-principles (PBE) data for a relaxed structure of SrPPdO, as listed in OQMD.

Cell and atoms, written as POSCAR:
```
SrPPdO
1.0
4.2898 0.0000 0.0000
0.0000 4.2898 0.0000
0.0000 0.0000 8.4740
O P Pd Sr
2 2 2 2
direct
0.0000 0.0000 0.0000 O
0.5000 0.5000 0.0000 O
0.5000 0.0000 0.3713 P
0.0000 0.5000 0.6287 P
0.0000 0.0000 0.5000 Pd
0.5000 0.5000 0.5000 Pd
0.0000 0.5000 0.1242 Sr
0.5000 0.0000 0.8758 Sr
```

Values from the calculation:
Uncorrected energy ... -5.581 eV per atom